Density functional theory data (PBE-GGA) for a geometry-optimized CsNdBr3 structure.

Values from the calculation:
Energy relative to the lowest polymorph listed for this composition in meV/atom: 72
Uncorrected energy in eV/atom: -3.775

Unit cell a=5.8528 b=5.8528 c=5.8528 alpha=90.00 beta=90.00 gamma=90.00
Fractional coordinates of all 5 atoms:
Br 0.0000 0.0000 0.5000
Br 0.5000 0.0000 0.0000
Br 0.0000 0.5000 0.0000
Nd 0.0000 0.0000 0.0000
Cs 0.5000 0.5000 0.5000

Density functional theory data (PBE-GGA) for a geometry-optimized Cs2Nd3Br10 structure.

Values from the calculation:
Uncorrected energy in eV/atom: -3.989

Unit cell a=8.1405 b=11.5481 c=14.3751 alpha=110.66 beta=106.45 gamma=90.00
Each line ends with the local moment (μB).
Fractional coordinates of all 30 atoms:
Br 0.5988 0.5183 0.7055  0.00
Br 0.9795 0.7983 0.9590  0.00
Br 0.8747 0.2464 0.7494  0.00
Br 0.3828 0.0460 0.2259  0.00
Br 0.4864 0.7978 0.9729  0.00
Br 0.2346 0.2877 0.4691  0.00
Br 0.6172 0.9540 0.7741  0.00
Br 0.1067 0.5183 0.7055  0.00
Br 0.5000 0.0000 0.5000  0.00
Br 0.0205 0.2017 0.0410  0.00
Br 0.7654 0.7123 0.5309  0.00
Br 0.1569 0.9540 0.7741  0.00
Br 0.5136 0.2022 0.0271  0.00
Br 0.2383 0.5000 0.0000  0.00
Br 0.4012 0.4817 0.2945  0.00
Br 0.1253 0.7536 0.2506  0.00
Br 0.8933 0.4817 0.2945  0.00
Br 0.0000 0.0000 0.5000  0.00
Br 0.8431 0.0460 0.2259  0.00
Br 0.7617 0.5000 0.0000  0.00
Nd 0.0777 0.4740 0.1553  0.01
Nd 0.1793 0.0307 0.3586  0.10
Nd 0.2655 0.0000 0.0000  0.01
Nd 0.8207 0.9693 0.6414  0.10
Nd 0.7345 0.0000 0.0000  0.01
Nd 0.9223 0.5260 0.8447  0.01
Cs 0.6200 0.7315 0.2400  0.00
Cs 0.7278 0.3403 0.4556  0.00
Cs 0.3800 0.2685 0.7600  0.00
Cs 0.2722 0.6597 0.5444  0.00

Density functional theory data (PBE-GGA) for a geometry-optimized Cs4NdBr7 structure.

Values from the calculation:
Uncorrected energy in eV/atom: -3.286

Unit cell a=5.7180 b=11.4323 c=9.7222 alpha=83.58 beta=72.90 gamma=75.52
Fractional coordinates of all 12 atoms:
Br 0.3717 0.5158 0.7408
Br 0.7293 0.8912 0.6502
Br 0.5000 0.0000 0.0000
Br 0.9482 0.2310 0.8725
Br 0.2707 0.1088 0.3498
Br 0.0518 0.7690 0.1275
Br 0.6283 0.4842 0.2592
Cs 0.6089 0.2387 0.5435
Cs 0.2641 0.3680 0.1038
Cs 0.7359 0.6320 0.8962
Cs 0.3911 0.7613 0.4565
Nd 0.0000 0.0000 0.0000

Density functional theory data (PBE-GGA) for a geometry-optimized CsNd4Br12 structure.

Values from the calculation:
Uncorrected energy in eV/atom: -4.144

Unit cell a=9.6683 b=9.6683 c=9.6683 alpha=109.47 beta=109.47 gamma=109.47
Fractional coordinates of all 17 atoms:
Br 0.8920 0.1873 0.7047
Br 0.7047 0.8920 0.1873
Br 0.8127 0.2953 0.1080
Br 0.7047 0.5174 0.8127
Br 0.2953 0.1080 0.8127
Br 0.8127 0.7047 0.5174
Br 0.4826 0.1873 0.2953
Br 0.1080 0.8127 0.2953
Br 0.1873 0.2953 0.4826
Br 0.1873 0.7047 0.8920
Br 0.2953 0.4826 0.1873
Br 0.5174 0.8127 0.7047
Nd 0.0000 0.5000 0.0000
Nd 0.5000 0.0000 0.0000
Nd 0.0000 0.0000 0.5000
Nd 0.5000 0.5000 0.5000
Cs 0.0000 0.0000 0.0000

Density functional theory data (PBE-GGA) for a geometry-optimized Cs3Nd2Br9 structure.

Values from the calculation:
Uncorrected energy in eV/atom: -3.810

Unit cell a=8.1113 b=8.1113 c=21.2504 alpha=90.00 beta=90.00 gamma=120.00
Fractional coordinates of all 28 atoms:
Br 0.4931 0.5069 0.7500
Br 0.5069 0.0137 0.2500
Br 0.8365 0.6730 0.4143
Br 0.1635 0.3270 0.5857
Br 0.8365 0.1635 0.4143
Br 0.3270 0.1635 0.0857
Br 0.3270 0.1635 0.4143
Br 0.1635 0.3270 0.9143
Br 0.8365 0.6730 0.0857
Br 0.9863 0.4931 0.2500
Br 0.5069 0.4931 0.2500
Br 0.1635 0.8365 0.9143
Br 0.6730 0.8365 0.9143
Br 0.6730 0.8365 0.5857
Br 0.1635 0.8365 0.5857
Br 0.4931 0.9863 0.7500
Br 0.0137 0.5069 0.7500
Br 0.8365 0.1635 0.0857
Nd 0.3333 0.6667 0.8453
Nd 0.6667 0.3333 0.1547
Nd 0.3333 0.6667 0.6547
Nd 0.6667 0.3333 0.3453
Cs 0.0000 0.0000 0.2500
Cs 0.6667 0.3333 0.5637
Cs 0.3333 0.6667 0.4363
Cs 0.0000 0.0000 0.7500
Cs 0.6667 0.3333 0.9363
Cs 0.3333 0.6667 0.0637

Density functional theory data (PBE-GGA) for a geometry-optimized Cs2NdBr6 structure.

Values from the calculation:
Uncorrected energy in eV/atom: -3.399

Unit cell a=4.6898 b=9.1527 c=9.1665 alpha=119.95 beta=90.00 gamma=90.00
Each line ends with the local moment (μB).
Fractional coordinates of all 9 atoms:
Br 0.0000 0.2255 0.0000  0.13
Br 0.5000 0.6650 0.0000  0.14
Br 0.5000 0.3352 0.3358  0.14
Br 0.0000 0.9998 0.2245  0.14
Br 0.0000 0.7753 0.7755  0.14
Br 0.5000 0.9995 0.6642  0.14
Cs 0.0000 0.3327 0.6662  0.00
Cs 0.0000 0.6665 0.3338  0.00
Nd 0.5000 0.0006 0.0000  -0.01

Density functional theory data (PBE-GGA) for a geometry-optimized CsNdBr3 structure.

Values from the calculation:
Energy relative to the lowest polymorph listed for this composition in meV/atom: 0
Uncorrected energy in eV/atom: -3.847

Unit cell a=6.7575 b=8.2747 c=8.2747 alpha=120.00 beta=90.00 gamma=90.00
Each line ends with the local moment (μB).
Fractional coordinates of all 10 atoms:
Nd 0.5000 0.0000 0.0000  0.18
Nd 0.0000 0.0000 0.0000  0.18
Cs 0.2500 0.3335 0.6665  0.00
Cs 0.7500 0.6665 0.3335  0.00
Br 0.2500 0.8270 0.6543  0.00
Br 0.7500 0.1730 0.3457  0.00
Br 0.2500 0.3457 0.1730  0.00
Br 0.2500 0.8271 0.1729  0.00
Br 0.7500 0.6543 0.8270  0.00
Br 0.7500 0.1729 0.8271  0.00

Density functional theory data (PBE-GGA) for a geometry-optimized Cs3Nd2Br8 structure.

Values from the calculation:
Uncorrected energy in eV/atom: -3.655

Unit cell a=8.8705 b=8.8705 c=10.8139 alpha=65.79 beta=65.79 gamma=60.00
Each line ends with the local moment (μB).
Fractional coordinates of all 13 atoms:
Br 0.7432 0.1988 0.3147  0.00
Br 0.1988 0.7432 0.3147  0.00
Br 0.3278 0.3278 0.0165  0.02
Br 0.2568 0.2568 0.6853  0.00
Br 0.8012 0.2568 0.6853  0.00
Br 0.2568 0.8012 0.6853  0.00
Br 0.6722 0.6722 0.9835  0.02
Br 0.7432 0.7432 0.3147  0.00
Cs 0.0000 0.0000 0.0000  0.00
Cs 0.7948 0.7948 0.6156  0.00
Cs 0.2052 0.2052 0.3844  0.00
Nd 0.4278 0.4278 0.7168  0.15
Nd 0.5722 0.5722 0.2832  0.15

Density functional theory data (PBE-GGA) for a geometry-optimized CsNdNiBr6 structure.

Values from the calculation:
Uncorrected energy in eV/atom: -3.709

Unit cell a=7.1855 b=7.1853 c=8.1424 alpha=90.00 beta=89.99 gamma=59.99
Each line ends with the local moment (μB).
Fractional coordinates of all 9 atoms:
Cs 0.0000 0.0000 0.9999  0.00
Nd 0.6666 0.6666 0.4999  0.00
Br 0.6110 0.3559 0.6909  0.08
Br 0.0330 0.6111 0.6909  0.08
Br 0.3558 0.0331 0.6909  0.08
Br 0.6111 0.0330 0.3091  0.08
Br 0.0330 0.3558 0.3091  0.08
Br 0.3559 0.6111 0.3091  0.08
Ni 0.3333 0.3334 0.5000  1.43

Density functional theory data (PBE-GGA) for a geometry-optimized CsNdPb2Br8 structure.

Values from the calculation:
Uncorrected energy in eV/atom: -3.555

Unit cell a=7.3574 b=7.0198 c=9.5812 alpha=89.73 beta=89.79 gamma=88.93
Fractional coordinates of all 12 atoms:
Br 0.6757 0.7548 0.0002
Br 0.3941 0.2688 0.5017
Br 0.6059 0.7312 0.4983
Br 0.8423 0.2521 0.7902
Br 0.3243 0.2452 0.9998
Br 0.1577 0.7479 0.2098
Br 0.8407 0.2507 0.2090
Br 0.1593 0.7493 0.7910
Cs 0.0000 0.0000 0.5000
Pb 0.5001 0.5006 0.2513
Pb 0.4999 0.4994 0.7487
Nd 0.0000 0.0000 0.0000